! Tm2Mg3Al2 | Alexandria via LeMat-Bulk | GGA-PBE | relaxed; values from VASP
&SYSTEM
  ibrav = 0, nat = 14, ntyp = 3
/
ATOMIC_SPECIES
Tm 168.93 Tm.upf
Mg 24.30 Mg.upf
Al 26.98 Al.upf
CELL_PARAMETERS angstrom
4.4787 0.0000 0.0000
0.0000 21.2875 0.0000
0.0000 0.0000 3.3950
ATOMIC_POSITIONS angstrom
Tm 0.0000 3.4449 0.0000
Tm 0.0000 17.8426 0.0000
Tm 2.2394 7.1988 0.0000
Tm 2.2394 14.0887 0.0000
Mg 0.0000 0.0000 0.0000
Mg 0.0000 9.0501 1.6975
Mg 0.0000 12.2374 1.6975
Mg 2.2394 1.5937 1.6975
Mg 2.2394 10.6438 0.0000
Mg 2.2394 19.6938 1.6975
Al 0.0000 6.0440 1.6975
Al 0.0000 15.2435 1.6975
Al 2.2394 4.5997 1.6975
Al 2.2394 16.6878 1.6975
! Calculated volume (Å³ per cell): 323.7
! DOS at the Fermi energy (states/eV per atom): 0.4382
! Energy (eV/cell): -45.620
! Energy of formation from the pure elements (meV per atom): -228